Entry 1:
La2NdSbN4: optimized geometry, PBE.

Summary:
Electronic total energy   -228.857 eV/cell

```
data_La2NdSbN4
_chemical_formula_sum 'La8 Nd4 Sb4 N16'
_cell_length_a 3.743
_cell_length_b 12.145
_cell_length_c 12.622
_cell_angle_alpha 90.00
_cell_angle_beta 90.00
_cell_angle_gamma 90.00
_space_group_name_H-M_alt 'C m c m'
_space_group_IT_number 63
_space_group_name_Hall '-C 2c 2'
loop_
_atom_site_label
_atom_site_fract_x
_atom_site_fract_y
_atom_site_fract_z
La1 0.000 0.130 0.037
Nd1 0.000 0.391 0.250
Sb1 0.000 0.344 0.750
N1 0.000 0.065 0.250
N2 0.000 0.218 0.636
N3 0.000 0.500 0.000
```

***

Entry 2:
TiCuS2: optimized geometry, PBE.

Summary:
Electronic total energy   -71.323 eV/cell

```
data_TiCuS2
_chemical_formula_sum 'Ti3 Cu3 S6'
_cell_length_a 3.4155
_cell_length_b 3.4155
_cell_length_c 21.6677
_cell_angle_alpha 90.00
_cell_angle_beta 90.00
_cell_angle_gamma 120.00
_space_group_name_H-M_alt 'R -3 m'
_space_group_IT_number 166
_space_group_name_Hall '-R 3 2"'
loop_
_atom_site_label
_atom_site_fract_x
_atom_site_fract_y
_atom_site_fract_z
Ti1 0.0000 0.0000 0.0000
Cu1 0.0000 0.0000 0.5000
S1 0.0000 0.0000 0.4003
```

***

Entry 3:
Mg4GaPb3: optimized geometry, PBE.

Summary:
Energy of formation from the pure elements   -0.070 eV per atom

```
data_Mg4GaPb3
_chemical_formula_sum 'Mg4 Ga1 Pb3'
_cell_length_a 3.459
_cell_length_b 3.459
_cell_length_c 16.452
_cell_angle_alpha 90.00
_cell_angle_beta 90.00
_cell_angle_gamma 90.00
_space_group_name_H-M_alt 'P 4/m m m'
_space_group_IT_number 123
_space_group_name_Hall '-P 4 2'
loop_
_atom_site_label
_atom_site_fract_x
_atom_site_fract_y
_atom_site_fract_z
Mg1 0.000 0.000 0.100
Mg2 0.000 0.000 0.367
Ga1 0.500 0.500 0.000
Pb1 0.500 0.500 0.235
Pb2 0.500 0.500 0.500
```

***

Entry 4:
AcLaTbTh: optimized geometry, PBE.

Summary:
Energy of formation from the pure elements   0.243 eV per atom

```
data_AcLaTbTh
_chemical_formula_sum 'Ac4 La4 Tb4 Th4'
_cell_length_a 8.359
_cell_length_b 8.359
_cell_length_c 8.359
_cell_angle_alpha 90.00
_cell_angle_beta 90.00
_cell_angle_gamma 90.00
_space_group_name_H-M_alt 'F -4 3 m'
_space_group_IT_number 216
_space_group_name_Hall 'F -4 2 3'
loop_
_atom_site_label
_atom_site_fract_x
_atom_site_fract_y
_atom_site_fract_z
Ac1 0.000 0.000 0.000
La1 0.000 0.000 0.500
Tb1 0.250 0.250 0.750
Th1 0.250 0.250 0.250
```

***

Entry 5:
MgOF: optimized geometry, PBE.

Summary:
Electronic total energy   -63.685 eV/cell

```
data_MgOF
_chemical_formula_sum 'Mg4 O4 F4'
_cell_length_a 11.258
_cell_length_b 3.092
_cell_length_c 3.869
_cell_angle_alpha 90.00
_cell_angle_beta 100.49
_cell_angle_gamma 90.00
_space_group_name_H-M_alt 'C 1 m 1'
_space_group_IT_number 8
loop_
_space_group_symop_operation_xyz
'x,y,z'
'x,-y,z'
'x+1/2,y+1/2,z'
'x+1/2,-y+1/2,z'
loop_
_atom_site_label
_atom_site_fract_x
_atom_site_fract_y
_atom_site_fract_z
Mg1 0.000 0.000 0.000
Mg2 0.213 0.000 0.687
O1 0.146 0.500 0.020
O2 0.233 0.500 0.366
F1 0.029 0.000 0.509
F2 0.387 0.000 0.918
```

***

Entry 6:
InAg6Au2: optimized geometry, PBE.

Summary:
Energy of formation from the pure elements   0.121 eV per atom

```
data_InAg6Au2
_chemical_formula_sum 'In4 Ag24 Au8'
_cell_length_a 10.062
_cell_length_b 10.227
_cell_length_c 7.535
_cell_angle_alpha 90.00
_cell_angle_beta 107.70
_cell_angle_gamma 90.00
_space_group_name_H-M_alt 'C 1 2/c 1'
_space_group_IT_number 15
loop_
_space_group_symop_operation_xyz
'x,y,z'
'-x,-y,-z'
'-x,y,-z+1/2'
'x,-y,z+1/2'
'x+1/2,y+1/2,z'
'-x+1/2,-y+1/2,-z'
'-x+1/2,y+1/2,-z+1/2'
'x+1/2,-y+1/2,z+1/2'
loop_
_atom_site_label
_atom_site_fract_x
_atom_site_fract_y
_atom_site_fract_z
In1 0.000 0.146 0.250
Ag1 0.059 0.374 0.599
Ag2 0.076 0.102 0.629
Ag3 0.233 0.116 0.037
Au1 0.144 0.378 0.265
```

***

The evaluated N(E_F) for the records listed, in turn: 0.445 0.536 0.354 3.008 0.000 0.303 states/eV/atom.